Density functional theory data (PBE-GGA) for crystalline SmGdCd at its relaxed geometry.

Calculated values
* E_form: 456 meV/atom
* polymorph energy (0 for the lowest one): 0 meV per atom

CIF file:
```
data_SmGdCd
_chemical_formula_sum 'Sm4 Gd4 Cd4'
_space_group_name_H-M_alt 'F -4 3 m'
_space_group_IT_number 216
_space_group_name_Hall 'F -4 2 3'
_cell_length_a 7.1790
_cell_length_b 7.1790
_cell_length_c 7.1790
_cell_angle_alpha 90.00
_cell_angle_beta 90.00
_cell_angle_gamma 90.00
loop_
_atom_site_label
_atom_site_type_symbol
_atom_site_fract_x
_atom_site_fract_y
_atom_site_fract_z
Sm1 Sm 0.0000 0.0000 0.0000
Gd1 Gd 0.2500 0.2500 0.7500
Cd1 Cd 0.0000 0.0000 0.5000
```

Density functional theory data (PBE-GGA) for crystalline AlAg3 at its relaxed geometry.

Calculated values
* E_tot: -24.89 eV per cell

CIF file:
```
data_AlAg3
_chemical_formula_sum 'Al2 Ag6'
_space_group_name_H-M_alt 'P 63/m m c'
_space_group_IT_number 194
_space_group_name_Hall '-P 6c 2c'
_cell_length_a 5.7935
_cell_length_b 5.7935
_cell_length_c 4.6655
_cell_angle_alpha 90.00
_cell_angle_beta 90.00
_cell_angle_gamma 120.00
loop_
_atom_site_label
_atom_site_type_symbol
_atom_site_fract_x
_atom_site_fract_y
_atom_site_fract_z
Al1 Al 0.3333 0.6667 0.2500
Ag1 Ag 0.1690 0.3380 0.7500
```

Density functional theory data (PBE-GGA) for crystalline Li2YTaO4 at its relaxed geometry.

Calculated values
* E_tot: -61.32 eV per cell

CIF file:
```
data_Li2YTaO4
_chemical_formula_sum 'Li2 Y1 Ta1 O4'
_space_group_name_H-M_alt 'P -6 m 2'
_space_group_IT_number 187
_space_group_name_Hall 'P -6 2'
_cell_length_a 3.0452
_cell_length_b 3.0452
_cell_length_c 10.3765
_cell_angle_alpha 90.00
_cell_angle_beta 90.00
_cell_angle_gamma 120.00
loop_
_atom_site_label
_atom_site_type_symbol
_atom_site_fract_x
_atom_site_fract_y
_atom_site_fract_z
Li1 Li 0.0000 0.0000 0.2480
Y1 Y 0.6667 0.3333 0.5000
Ta1 Ta 0.3333 0.6667 0.0000
O1 O 0.3333 0.6667 0.3680
O2 O 0.6667 0.3333 0.1246
```

Density functional theory data (PBE-GGA) for crystalline InPbAuSe2S at its relaxed geometry.

Calculated values
* E_tot: -87.85 eV per cell

CIF file:
```
data_InPbAuSe2S
_chemical_formula_sum 'In4 Pb4 Au4 Se8 S4'
_space_group_name_H-M_alt 'C m c m'
_space_group_IT_number 63
_space_group_name_Hall '-C 2c 2'
_cell_length_a 3.8525
_cell_length_b 13.6035
_cell_length_c 11.2173
_cell_angle_alpha 90.00
_cell_angle_beta 90.00
_cell_angle_gamma 90.00
loop_
_atom_site_label
_atom_site_type_symbol
_atom_site_fract_x
_atom_site_fract_y
_atom_site_fract_z
In1 In 0.0000 0.2443 0.2500
Pb1 Pb 0.0000 0.0000 0.0000
Au1 Au 0.0000 0.4769 0.7500
Se1 Se 0.0000 0.3352 0.5844
S1 S 0.0000 0.1065 0.7500
```

Density functional theory data (PBE-GGA) for crystalline NaTbCdSe3 at its relaxed geometry.

Calculated values
* polymorph energy (0 for the lowest one): 20 meV per atom

CIF file:
```
data_NaTbCdSe3
_chemical_formula_sum 'Na4 Tb4 Cd4 Se12'
_space_group_name_H-M_alt 'P n m a'
_space_group_IT_number 62
_cell_length_a 11.1530
_cell_length_b 4.1807
_cell_length_c 13.7356
_cell_angle_alpha 90.00
_cell_angle_beta 90.00
_cell_angle_gamma 90.00
loop_
_space_group_symop_operation_xyz
'x,y,z'
'-x,-y,-z'
'-x+1/2,-y,z+1/2'
'x+1/2,y,-z+1/2'
'x+1/2,-y+1/2,-z+1/2'
'-x+1/2,y+1/2,z+1/2'
'-x,y+1/2,-z'
'x,-y+1/2,z'
loop_
_atom_site_label
_atom_site_type_symbol
_atom_site_fract_x
_atom_site_fract_y
_atom_site_fract_z
Na1 Na 0.2183 0.2500 0.0059
Tb1 Tb 0.0126 0.7500 0.7418
Cd1 Cd 0.2380 0.7500 0.2194
Se1 Se 0.0401 0.7500 0.1170
Se2 Se 0.0750 0.2500 0.6063
Se3 Se 0.2373 0.2500 0.3401
```

Density functional theory data (PBE-GGA) for crystalline KLuGeS3 at its relaxed geometry.

Calculated values
* polymorph energy (0 for the lowest one): 149 meV per atom

CIF file:
```
data_KLuGeS3
_chemical_formula_sum 'K4 Lu4 Ge4 S12'
_space_group_name_H-M_alt 'C m c m'
_space_group_IT_number 63
_space_group_name_Hall '-C 2c 2'
_cell_length_a 3.8281
_cell_length_b 15.4552
_cell_length_c 10.9655
_cell_angle_alpha 90.00
_cell_angle_beta 90.00
_cell_angle_gamma 90.00
loop_
_atom_site_label
_atom_site_type_symbol
_atom_site_fract_x
_atom_site_fract_y
_atom_site_fract_z
K1 K 0.0000 0.1968 0.2500
Lu1 Lu 0.0000 0.5000 0.0000
Ge1 Ge 0.0000 0.1094 0.7500
S1 S 0.0000 0.1183 0.5092
S2 S 0.0000 0.4945 0.2500
```

Density functional theory data (PBE-GGA) for crystalline TaBeCuGe at its relaxed geometry.

Calculated values
* polymorph energy (0 for the lowest one): 173 meV per atom

CIF file:
```
data_TaBeCuGe
_chemical_formula_sum 'Ta4 Be4 Cu4 Ge4'
_space_group_name_H-M_alt 'F -4 3 m'
_space_group_IT_number 216
_space_group_name_Hall 'F -4 2 3'
_cell_length_a 6.0698
_cell_length_b 6.0698
_cell_length_c 6.0698
_cell_angle_alpha 90.00
_cell_angle_beta 90.00
_cell_angle_gamma 90.00
loop_
_atom_site_label
_atom_site_type_symbol
_atom_site_fract_x
_atom_site_fract_y
_atom_site_fract_z
Ta1 Ta 0.0000 0.0000 0.0000
Be1 Be 0.2500 0.2500 0.2500
Cu1 Cu 0.2500 0.2500 0.7500
Ge1 Ge 0.0000 0.0000 0.5000
```

Density functional theory data (PBE-GGA) for crystalline ZrGaCoW at its relaxed geometry.

Calculated values
* polymorph energy (0 for the lowest one): 0 meV per atom

CIF file:
```
data_ZrGaCoW
_chemical_formula_sum 'Zr4 Ga4 Co4 W4'
_space_group_name_H-M_alt 'F -4 3 m'
_space_group_IT_number 216
_space_group_name_Hall 'F -4 2 3'
_cell_length_a 6.3267
_cell_length_b 6.3267
_cell_length_c 6.3267
_cell_angle_alpha 90.00
_cell_angle_beta 90.00
_cell_angle_gamma 90.00
loop_
_atom_site_label
_atom_site_type_symbol
_atom_site_fract_x
_atom_site_fract_y
_atom_site_fract_z
Zr1 Zr 0.0000 0.0000 0.0000
Ga1 Ga 0.0000 0.0000 0.5000
Co1 Co 0.2500 0.2500 0.7500
W1 W 0.2500 0.2500 0.2500
```

Density functional theory data (PBE-GGA) for crystalline KTmNiSe3 at its relaxed geometry.

Calculated values
* E_tot: -113.15 eV per cell

CIF file:
```
data_KTmNiSe3
_chemical_formula_sum 'K4 Tm4 Ni4 Se12'
_space_group_name_H-M_alt 'P n m a'
_space_group_IT_number 62
_cell_length_a 10.9848
_cell_length_b 4.2472
_cell_length_c 12.3649
_cell_angle_alpha 90.00
_cell_angle_beta 90.00
_cell_angle_gamma 90.00
loop_
_space_group_symop_operation_xyz
'x,y,z'
'-x,-y,-z'
'-x+1/2,-y,z+1/2'
'x+1/2,y,-z+1/2'
'x+1/2,-y+1/2,-z+1/2'
'-x+1/2,y+1/2,z+1/2'
'-x,y+1/2,-z'
'x,-y+1/2,z'
loop_
_atom_site_label
_atom_site_type_symbol
_atom_site_fract_x
_atom_site_fract_y
_atom_site_fract_z
K1 K 0.1656 0.2500 0.0058
Tm1 Tm 0.0052 0.2500 0.3340
Ni1 Ni 0.2344 0.2500 0.7179
Se1 Se 0.0505 0.7500 0.1863
Se2 Se 0.1144 0.2500 0.5538
Se3 Se 0.2247 0.7500 0.7944
```

Density functional theory data (PBE-GGA) for crystalline Na3NdDy2Pb3 at its relaxed geometry.

Calculated values
* E_tot: -31.11 eV per cell

CIF file:
```
data_Na3NdDy2Pb3
_chemical_formula_sum 'Na3 Nd1 Dy2 Pb3'
_space_group_name_H-M_alt 'P -6 m 2'
_space_group_IT_number 187
_space_group_name_Hall 'P -6 2'
_cell_length_a 5.2177
_cell_length_b 5.2177
_cell_length_c 10.6169
_cell_angle_alpha 90.00
_cell_angle_beta 90.00
_cell_angle_gamma 120.00
loop_
_atom_site_label
_atom_site_type_symbol
_atom_site_fract_x
_atom_site_fract_y
_atom_site_fract_z
Na1 Na 0.0000 0.0000 0.0000
Na2 Na 0.3333 0.6667 0.3124
Nd1 Nd 0.6667 0.3333 0.5000
Dy1 Dy 0.6667 0.3333 0.1640
Pb1 Pb 0.0000 0.0000 0.3348
Pb2 Pb 0.3333 0.6667 0.0000
```

Density functional theory data (PBE-GGA) for crystalline Ni2SnPd at its relaxed geometry.

Calculated values
* E_tot: -84.56 eV per cell

CIF file:
```
data_Ni2SnPd
_chemical_formula_sum 'Ni8 Sn4 Pd4'
_space_group_name_H-M_alt 'F -4 3 m'
_space_group_IT_number 216
_space_group_name_Hall 'F -4 2 3'
_cell_length_a 6.1123
_cell_length_b 6.1123
_cell_length_c 6.1123
_cell_angle_alpha 90.00
_cell_angle_beta 90.00
_cell_angle_gamma 90.00
loop_
_atom_site_label
_atom_site_type_symbol
_atom_site_fract_x
_atom_site_fract_y
_atom_site_fract_z
Ni1 Ni 0.0000 0.0000 0.0000
Ni2 Ni 0.2500 0.2500 0.2500
Sn1 Sn 0.0000 0.0000 0.5000
Pd1 Pd 0.2500 0.2500 0.7500
```

Density functional theory data (PBE-GGA) for crystalline CsSiTc at its relaxed geometry.

Calculated values
* polymorph energy (0 for the lowest one): 411 meV per atom

CIF file:
```
data_CsSiTc
_chemical_formula_sum 'Cs4 Si4 Tc4'
_space_group_name_H-M_alt 'F -4 3 m'
_space_group_IT_number 216
_space_group_name_Hall 'F -4 2 3'
_cell_length_a 7.0706
_cell_length_b 7.0706
_cell_length_c 7.0706
_cell_angle_alpha 90.00
_cell_angle_beta 90.00
_cell_angle_gamma 90.00
loop_
_atom_site_label
_atom_site_type_symbol
_atom_site_fract_x
_atom_site_fract_y
_atom_site_fract_z
Cs1 Cs 0.0000 0.0000 0.0000
Si1 Si 0.2500 0.2500 0.2500
Tc1 Tc 0.0000 0.0000 0.5000
```